Mn2BeAu | PBE-GGA | relaxed

Geometry as POSCAR:
```
Mn2BeAu
1.0
2.6593 -3.6546 0.0000
2.6593 3.6546 0.0000
0.0000 0.0000 2.8631
Mn Be Au
2 1 1
Cartesian
1.3297 1.8273 0.0000
1.3297 -1.8273 0.0000
0.0000 0.0000 1.4316
2.6593 0.0000 1.4316
```

Summary:
- Fermi-level density of states (states/eV/cell) = 3.29
- M_tot (μB per atom) = 1.67
- volume (Å³/cell) = 55.7
- energy of formation (eV per atom) = 0.20